a:
Below is a geometry-optimized Ba2CaSi2 structure, with properties calculated at the PBE-GGA level. Values from VASP.

Structure (Quantum ESPRESSO input):
```
&SYSTEM
  ibrav = 0, nat = 5, ntyp = 3
/
ATOMIC_SPECIES
Ca 40.08 Ca.upf
Si 28.09 Si.upf
Ba 137.33 Ba.upf
ATOMIC_POSITIONS angstrom
Ca 0.000 0.000 0.000
Si 2.498 2.498 1.140
Si 4.996 4.996 5.713
Ba 4.996 2.498 3.426
Ba 2.498 4.996 3.426
CELL_PARAMETERS angstrom
4.996 0.000 0.000
0.000 4.996 0.000
2.498 2.498 6.853
```

Properties
SG ... I4/mmm (139)

b:
Below is a geometry-optimized Ba2CaSi2 structure, with properties calculated at the PBE-GGA level. Values from VASP.

Structure (Quantum ESPRESSO input):
```
&SYSTEM
  ibrav = 0, nat = 10, ntyp = 3
/
ATOMIC_SPECIES
Ca 40.08 Ca.upf
Si 28.09 Si.upf
Ba 137.33 Ba.upf
ATOMIC_POSITIONS angstrom
Ca 0.000 0.000 0.000
Ca 0.337 -3.719 4.333
Si 0.843 -2.638 7.420
Si 0.267 -6.838 5.437
Si -0.170 -4.800 1.247
Si 0.406 -0.600 3.229
Ba -1.841 -0.814 5.858
Ba -1.908 -4.745 7.402
Ba -2.557 -6.262 3.513
Ba -2.491 -2.330 1.969
CELL_PARAMETERS angstrom
-0.481 -8.046 0.682
1.154 0.608 7.984
-5.071 0.363 0.705
```

Properties
SG ... P4/mbm (127)

Of them, the most stable is b and the least stable is a.

a:
Below is a geometry-optimized BaCaSi2 structure, with properties calculated at the PBE-GGA level. Values from VASP.

Structure (Quantum ESPRESSO input):
```
&SYSTEM
  ibrav = 0, nat = 4, ntyp = 3
/
ATOMIC_SPECIES
Ba 137.33 Ba.upf
Ca 40.08 Ca.upf
Si 28.09 Si.upf
ATOMIC_POSITIONS angstrom
Ba 0.100 -3.195 0.879
Ca 1.193 -0.611 3.032
Si 0.000 0.000 0.000
Si -1.754 -2.087 3.394
CELL_PARAMETERS angstrom
-0.661 0.497 5.547
-2.847 -4.670 1.241
4.800 0.367 -2.877
```

Properties
SG ... I4/mmm (139)

b:
Below is a geometry-optimized BaCaSi2 structure, with properties calculated at the PBE-GGA level. Values from VASP.

Structure (Quantum ESPRESSO input):
```
&SYSTEM
  ibrav = 0, nat = 4, ntyp = 3
/
ATOMIC_SPECIES
Ba 137.33 Ba.upf
Ca 40.08 Ca.upf
Si 28.09 Si.upf
ATOMIC_POSITIONS angstrom
Ba 2.457 -1.823 1.304
Ca -0.286 -3.306 -0.210
Si 0.000 0.000 0.000
Si -3.225 -3.496 1.333
CELL_PARAMETERS angstrom
-5.967 -4.979 -0.181
5.396 -1.633 -0.239
-0.483 -2.012 2.847
```

Properties
SG ... Cmmm (65)

Of them, the most stable is a and the least stable is b.